A PBEsol-optimized structure of ZrCdP. Source: Alexandria via LeMat-Bulk, functional meta-GGA SCAN.

abc: 3.7217 3.7217 5.2556
angles: 90.00 90.00 120.00
Space group P3m1 (No. 156)
Inequivalent atoms, fractional coordinates:
Zr  0.0000  0.0000  0.0000 (multiplicity 1)
Cd  0.3333  0.6667  0.4316 (multiplicity 1)
P  0.6667  0.3333  0.7486 (multiplicity 1)

* ΔE_f: -0.38 eV per atom
* energy: -72.7 eV for the cell shown
* total moment: 0.00 μB per atom
* N(E_F): 2.15 states/eV per cell
* excess energy over the best structure of this formula in the dataset: 0 meV/atom